DFT (GGA+U) results for crystalline NdVBrO4 at its relaxed geometry.

a = 6.8630 Å, b = 6.8630 Å, c = 6.9624 Å
α = 79.13°, β = 79.13°, γ = 57.02°
With the nearest neighbours (Å) after each atom.
Fractional positions:
Nd  0.2937  0.2937  0.8341  6 O 2.30-2.52
Nd  0.7063  0.7063  0.1659  6 O 2.30-2.52
V  0.6328  0.6328  0.7428  4 O 1.71-1.78
V  0.3672  0.3672  0.2572  4 O 1.71-1.78
Br  0.0204  0.0204  0.3309  1 Br 2.30
Br  0.9796  0.9796  0.6691  1 Br 2.30
O  0.2986  0.2986  0.4990  1 V 1.71
O  0.7014  0.7014  0.5010  1 V 1.71
O  0.1166  0.5300  0.1243  1 V 1.78
O  0.5110  0.5110  0.2372  1 V 1.71
O  0.4700  0.8834  0.8757  1 V 1.78
O  0.5300  0.1166  0.1243  1 V 1.78
O  0.4890  0.4890  0.7628  1 V 1.71
O  0.8834  0.4700  0.8757  1 V 1.78

Computed properties:
final energy: -98.1 eV per cell
SG: C2/m

---

DFT (GGA+U) results for crystalline BeWOF2 at its relaxed geometry.

a = 3.2326 Å, b = 3.2326 Å, c = 5.7749 Å
α = 90.00°, β = 90.00°, γ = 90.00°
With the nearest neighbours (Å) after each atom.
Fractional positions:
Be  0.0000  0.0000  0.0000  4 F 1.62
O  0.0000  0.0000  0.5000  4 W 2.29
W  0.5000  0.5000  0.5000  4 O 2.29
F  0.0000  0.5000  0.0000  2 Be 1.62
F  0.5000  0.0000  0.0000  2 Be 1.62

Computed properties:
DOS(E_F): 0.00 states/eV/f.u.
energy above the lowest structure with this stoichiometry: 0.00 kJ per mole of atoms
SG: P4/mmm